1.
! GGA-PBE RbLiPmF5, optimized geometry; values from VASP
&SYSTEM
  ibrav = 0, nat = 16, ntyp = 4
/
ATOMIC_SPECIES
Rb 85.47 Rb.upf
Li 6.94 Li.upf
Pm 145.00 Pm.upf
F 19.00 F.upf
CELL_PARAMETERS angstrom
6.4008 -0.0159 -0.0447
-1.8837 6.1174 -0.0447
-1.9293 -2.6059 7.9428
ATOMIC_POSITIONS angstrom
Rb 0.4576 3.3755 1.9410
Rb 2.1302 0.1201 5.9125
Li 3.3230 1.2541 1.9410
Li -0.7352 2.2414 5.9125
Pm -0.9646 -1.3030 3.9714
Pm 0.0000 0.0000 0.0000
F -1.7542 5.0130 1.9410
F 4.3421 -1.5174 5.9125
F 4.9478 1.4700 0.8692
F -2.3600 2.0255 6.9843
F 3.5908 -0.3630 3.0129
F -1.0030 3.8585 4.8406
F 2.9202 2.7624 3.1117
F -0.3324 0.7331 4.7418
F 1.7628 1.1991 0.7704
F 0.8250 2.2965 7.0831
! ρ, g/cm³: 3.6
! Crystal system: monoclinic
! ΔE_f (raw), eV per atom: -3.45
! Symmetry: C2/c


2.
! GGA-PBE Rb2Pt2Se, optimized geometry; values from VASP
&SYSTEM
  ibrav = 0, nat = 10, ntyp = 3
/
ATOMIC_SPECIES
Se 78.96 Se.upf
Rb 85.47 Rb.upf
Pt 195.08 Pt.upf
CELL_PARAMETERS angstrom
6.8557 0.0000 0.0000
0.0000 6.8557 0.0000
0.0000 0.0000 5.5330
ATOMIC_POSITIONS angstrom
Se 0.0000 0.0000 0.0000
Se 3.4278 3.4278 0.0000
Rb 1.2195 4.6474 2.7665
Rb 4.6474 5.6362 2.7665
Rb 5.6362 2.2083 2.7665
Rb 2.2083 1.2195 2.7665
Pt 2.4834 5.9112 0.0000
Pt 5.9112 4.3723 0.0000
Pt 4.3723 0.9445 0.0000
Pt 0.9445 2.4834 0.0000
! ρ, g/cm³: 8.2
! Crystal system: tetragonal
! ΔE_f (raw), eV per atom: -0.13
! Symmetry: P4/mbm


3.
! GGA-PBE BaReW2, optimized geometry; values from VASP
&SYSTEM
  ibrav = 0, nat = 4, ntyp = 3
/
ATOMIC_SPECIES
Re 186.21 Re.upf
Ba 137.33 Ba.upf
W 183.84 W.upf
CELL_PARAMETERS angstrom
4.2287 0.0000 0.0000
0.0000 2.9445 0.0038
0.0000 1.2228 7.3966
ATOMIC_POSITIONS angstrom
Re 2.1143 3.1338 6.2674
Ba 0.0000 2.0106 3.7296
W 0.0000 1.2392 7.3419
W 2.1143 1.0902 1.1584
! Formation enthalpy at 0 K, kJ per mole of atoms: 88
! ρ, g/cm³: 12.5
! Crystal system: monoclinic
! Symmetry: Pm


- Among the records above, which one has the lowest ρ?
  RbLiPmF5